# 1
The following is a PBE calculation of CsRbZnGeSe after structural relaxation, from Alexandria via LeMat-Bulk.

```
CsRbZnGeSe
1.0
4.662 0.000 0.000
-2.236 6.369 0.000
-0.904 -3.049 6.266
Cs Rb Zn Ge Se
1 1 1 1 1
direct
0.000 0.000 0.000
0.578 0.297 0.629
0.724 0.737 0.389
0.160 0.612 0.390
0.295 0.583 0.032
```

Summary:
energy above the lowest structure with this stoichiometry	0.7	meV per atom
space-group type	No. 1
uncorrected formation energy	-0.42	eV per atom
total moment	0.000	μB/atom

# 2
The following is a PBE calculation of Ba3PuCl2O6 after structural relaxation, from Alexandria via LeMat-Bulk.

```
Ba3PuCl2O6
1.0
6.865 -3.626 0.000
6.865 3.626 0.000
-0.373 0.000 5.481
Ba Pu Cl O
3 1 2 6
direct
0.000 0.000 0.000
0.000 0.500 0.500
0.500 0.000 0.500
0.500 0.500 0.500
0.213 0.213 0.933
0.787 0.787 0.067
0.235 0.649 0.689
0.351 0.765 0.311
0.370 0.370 0.327
0.630 0.630 0.673
0.649 0.235 0.689
0.765 0.351 0.311
```

Summary:
space-group type	No. 12
uncorrected formation energy	-2.33	eV per atom
total moment	0.012	μB/atom

# 3
The following is a PBE calculation of HoSc3Au4 after structural relaxation, from Alexandria via LeMat-Bulk.

```
HoSc3Au4
1.0
2.430 1.403 8.064
-2.430 1.403 8.064
0.000 -2.806 8.064
Ho Sc Au
1 3 4
direct
0.000 0.000 0.000
0.248 0.248 0.248
0.500 0.500 0.500
0.752 0.752 0.752
0.128 0.128 0.128
0.381 0.381 0.381
0.619 0.619 0.619
0.872 0.872 0.872
```

Summary:
space-group type	No. 166
formation energy from the elements	-0.809	eV/atom
total moment	0.000	μB/atom